Below is YMgCo2H6 after structural relaxation, with properties calculated at the GGA-PBE level.

Cell and atoms, written as extended XYZ:
```
10
Lattice="-3.664 2.286 0.715 -3.344 -1.839 2.145 -0.460 1.798 5.292" Properties=species:S:1:pos:R:3 pbc="T T T"
H -3.093 0.535 2.238
H -2.461 0.515 5.540
H -2.629 2.670 4.793
H -5.007 1.730 2.612
H -4.376 1.709 5.914
H -4.840 -0.426 3.359
Co -5.846 1.468 5.548
Co -1.623 0.776 2.603
Y 0.000 0.000 0.000
Mg -3.734 1.122 4.076
```

SG: No. 166
total energy: -44.8 eV for the cell shown



Below is Th6SbC after structural relaxation, with properties calculated at the GGA-PBE level.

Cell and atoms, written as extended XYZ:
```
8
Lattice="5.885 -0.982 -1.680 1.862 5.850 -0.867 0.842 1.744 5.889" Properties=species:S:1:pos:R:3 pbc="T T T"
Th 4.225 5.791 4.146
Th 1.785 3.269 4.123
Th 6.804 3.343 -0.781
Th 4.364 0.821 -0.803
Th 1.772 0.868 1.562
Th 6.817 5.744 1.780
Sb 4.294 3.306 1.671
C 0.000 0.000 0.000
```

uncorrected formation energy: -1.9 eV/f.u.
SG: No. 148
total energy: -59.8 eV for the cell shown



Below is CaPuSnPt after structural relaxation, with properties calculated at the GGA-PBE level.

Cell and atoms, written as extended XYZ:
```
4
Lattice="-4.976 0.502 1.318 -3.698 -0.712 -3.544 -3.045 -4.173 0.242" Properties=species:S:1:pos:R:3 pbc="T T T"
Pt -5.859 -2.192 -0.992
Pu -8.789 -3.288 -1.488
Sn 0.000 0.000 0.000
Ca -2.930 -1.096 -0.496
```

SG: No. 216
total energy: -28.5 eV for the cell shown
E_form: -0.527 eV/atom



Below is NbGaBr2Cl after structural relaxation, with properties calculated at the GGA-PBE level.

Cell and atoms, written as extended XYZ:
```
5
Lattice="5.014 0.000 0.000 0.000 5.587 0.000 0.000 0.000 5.014" Properties=species:S:1:pos:R:3 pbc="T T T"
Br 0.000 0.000 2.507
Br 2.507 0.000 0.000
Nb 0.000 2.794 0.000
Ga 0.000 0.000 0.000
Cl 2.507 2.794 2.507
```

uncorrected formation energy: 2.1 eV/f.u.
SG: No. 123
total energy: -16.2 eV for the cell shown



Below is La2YAgH after structural relaxation, with properties calculated at the GGA-PBE level.

Cell and atoms, written as extended XYZ:
```
5
Lattice="-2.691 -3.006 -2.885 3.660 -0.064 -3.347 2.018 -3.998 2.284" Properties=species:S:1:pos:R:3 pbc="T T T"
La 1.830 -0.032 -1.673
La -1.345 -1.503 -1.443
H 0.000 0.000 0.000
Ag 1.494 -3.534 -1.974
Y 1.009 -1.999 1.142
```

SG: No. 123
total energy: -23.2 eV for the cell shown



Below is Pm6DyZn2 after structural relaxation, with properties calculated at the GGA-PBE level.

Cell and atoms, written as extended XYZ:
```
9
Lattice="-2.138 2.108 2.168 -6.199 -2.202 -0.808 -1.475 -7.425 8.927" Properties=species:S:1:pos:R:3 pbc="T T T"
Pm -2.744 -5.545 5.847
Pm -7.066 -1.976 4.440
Pm -6.404 -5.464 5.322
Pm -4.736 -0.563 2.202
Pm -3.406 -2.056 4.965
Pm -5.074 -6.957 8.085
Dy 0.000 0.000 0.000
Zn -1.621 -0.909 2.448
Zn -8.190 -6.611 7.839
```

SG: No. 12
total energy: -36.9 eV for the cell shown
E_form: -0.137 eV/atom



Question: The highest total energy belongs to which entry?
Answer: NbGaBr2Cl



Copy entry 3 word for word.
Below is CaPuSnPt after structural relaxation, with properties calculated at the GGA-PBE level.

Cell and atoms, written as extended XYZ:
```
4
Lattice="-4.976 0.502 1.318 -3.698 -0.712 -3.544 -3.045 -4.173 0.242" Properties=species:S:1:pos:R:3 pbc="T T T"
Pt -5.859 -2.192 -0.992
Pu -8.789 -3.288 -1.488
Sn 0.000 0.000 0.000
Ca -2.930 -1.096 -0.496
```

SG: No. 216
total energy: -28.5 eV for the cell shown
E_form: -0.527 eV/atom



Question: Which of these has the lowest total energy?
Answer: Th6SbC